Version P
The following is a DFT calculation (GGA-PBE) of a geometry-optimized Li4Cl2O structure.

## Properties
- space-group type = Cmmm
- M_tot (μB/f.u.) = 0.0

Cell lengths 3.326, 6.063, 6.063 Å; angles 105.69, 90.00, 90.00 degrees
Sites, in units of the cell vectors:
1 Li 0.500 0.845 0.845
2 Li 0.000 0.194 0.806
3 Li 0.500 0.155 0.155
4 Li 0.000 0.806 0.194
5 Cl 0.500 0.000 0.500
6 Cl 0.500 0.500 0.000
7 O 0.000 0.000 0.000


Version Q
The following is a DFT calculation (GGA-PBE) of a geometry-optimized Li4Cl2O structure.

## Properties
- space-group type = I4/mmm
- M_tot (μB/f.u.) = 0.0

Cell lengths 3.862, 3.862, 6.977 Å; angles 73.93, 73.93, 90.00 degrees
Sites, in units of the cell vectors:
1 Li 0.151 0.151 0.699
2 Li 0.849 0.849 0.301
3 Li 0.000 0.500 0.000
4 Li 0.500 0.000 0.000
5 O 0.000 0.000 0.000
6 Cl 0.346 0.346 0.307
7 Cl 0.654 0.654 0.693


Name the least stable of them. version P.


Version P
The following is a DFT calculation (GGA-PBE) of a geometry-optimized Li2ClO structure.

## Properties
- space-group type = I-42d
- M_tot (μB/f.u.) = 1.0

Cell lengths 6.003, 6.003, 5.225 Å; angles 54.94, 54.94, 90.00 degrees
Last column: magnetic moment on the atom in μB.
Sites, in units of the cell vectors:
1 Li 0.549 0.125 0.250  0.00
2 Li 0.201 0.625 0.250  0.00
3 Li 0.375 0.451 0.750  0.00
4 Li 0.875 0.799 0.750  0.00
5 O 0.500 0.500 0.000  -0.67
6 O 0.250 0.750 0.500  -0.67
7 Cl 0.000 0.000 0.000  -0.13
8 Cl 0.750 0.250 0.500  -0.13


Version Q
The following is a DFT calculation (GGA-PBE) of a geometry-optimized Li2ClO structure.

## Properties
- space-group type = Fm-3m
- M_tot (μB/f.u.) = 1.0

Cell lengths 4.113, 4.113, 4.113 Å; angles 60.00, 60.00, 60.00 degrees
Last column: magnetic moment on the atom in μB.
Sites, in units of the cell vectors:
1 Li 0.250 0.250 0.250  -0.01
2 Li 0.750 0.750 0.750  -0.01
3 O 0.000 0.000 0.000  0.68
4 Cl 0.500 0.500 0.500  0.18


Name the least stable of them. version Q.


Version P
The following is a DFT calculation (GGA-PBE) of a geometry-optimized LiPr2Ta2Cl2O7 structure.

## Properties
- space-group type = Cm
- M_tot (μB/f.u.) = 0.0

Cell lengths 8.749, 8.749, 6.806 Å; angles 74.18, 74.18, 26.71 degrees
Sites, in units of the cell vectors:
1 Li 0.435 0.435 0.905
2 Pr 0.285 0.285 0.334
3 Pr 0.662 0.662 0.865
4 Ta 0.969 0.969 0.214
5 Ta 0.046 0.046 0.696
6 Cl 0.671 0.671 0.266
7 Cl 0.296 0.296 0.886
8 O 0.452 0.452 0.199
9 O 0.548 0.548 0.711
10 O 0.945 0.945 0.914
11 O 0.009 0.009 0.450
12 O 0.847 0.847 0.354
13 O 0.079 0.079 0.005
14 O 0.172 0.172 0.628


Version Q
The following is a DFT calculation (GGA-PBE) of a geometry-optimized LiPr2Ta2Cl2O7 structure.

## Properties
- space-group type = C2/m
- M_tot (μB/f.u.) = 0.0

Cell lengths 8.070, 8.070, 7.031 Å; angles 66.41, 66.41, 29.12 degrees
Sites, in units of the cell vectors:
1 Li 0.500 0.500 0.500
2 Pr 0.309 0.309 0.155
3 Pr 0.691 0.691 0.845
4 Ta 0.965 0.965 0.808
5 Ta 0.035 0.035 0.192
6 Cl 0.679 0.679 0.437
7 Cl 0.321 0.321 0.563
8 O 0.459 0.459 0.815
9 O 0.541 0.541 0.185
10 O 0.918 0.918 0.149
11 O 0.000 0.000 0.500
12 O 0.824 0.824 0.931
13 O 0.082 0.082 0.851
14 O 0.176 0.176 0.069


Name the least stable of them. version P.